BaTaCu2 | PBE | optimized geometry

extended XYZ file:
```
4
Lattice="3.212 0.000 0.000 0.000 3.212 0.000 0.000 0.000 7.966" Properties=species:S:1:pos:R:3 pbc="T T T"
Cu 1.606 1.606 1.823
Ta 0.000 0.000 3.298
Cu 0.000 0.000 0.668
Ba 1.606 1.606 6.160
```

Values from the calculation:
- calculated total energy (eV/cell) = -19.9
- total magnetization (Bohr magnetons per cell) = 0.00